Record 1
Compound: YTmAs2
Source: Alexandria
Functional: PBE
Structure: optimized geometry

Results
The calculation puts the calculated formation energy at -5.538 eV per formula unit. For the total energy, the calculation gives -6.44 eV per atom. For the density of states at the Fermi level, the calculation gives 0.100 states/eV per atom.

a = 4.055 Å, b = 4.055 Å, c = 7.344 Å
α = 73.97°, β = 73.97°, γ = 60.00°
Sites, in units of the cell vectors:
Y  0.498  0.498  0.507
Tm  0.669  0.669  0.993
As  0.081  0.081  0.758
As  0.252  0.252  0.243

=====

Record 2
Compound: AlTlAg
Source: Alexandria
Functional: PBE
Structure: optimized geometry

Results
The calculation puts the calculated formation energy at 0.516 eV per formula unit. For the total energy, the calculation gives -2.81 eV per atom. For the density of states at the Fermi level, the calculation gives 0.368 states/eV per atom.

a = 3.366 Å, b = 3.366 Å, c = 6.609 Å
α = 90.00°, β = 90.00°, γ = 120.00°
Sites, in units of the cell vectors:
Tl  0.333  0.667  0.666
Al  0.667  0.333  0.306
Ag  0.000  0.000  0.028

=====

Record 3
Compound: Pr5Y3Sb8
Source: Alexandria
Functional: PBE
Structure: optimized geometry

Results
For the total energy, the calculation gives -5.94 eV per atom. Its raw formation energy is -1.176 eV/atom. For the density of states at the Fermi level, the calculation gives 0.132 states/eV per atom.

a = 8.998 Å, b = 8.998 Å, c = 8.991 Å
α = 59.97°, β = 59.97°, γ = 60.00°
Sites, in units of the cell vectors:
Pr  0.500  0.000  0.000
Pr  0.500  0.500  0.000
Pr  0.000  0.000  0.000
Pr  0.000  0.500  0.000
Pr  0.500  0.500  0.500
Y  0.500  0.000  0.500
Y  0.000  0.000  0.500
Y  0.000  0.500  0.500
Sb  0.250  0.250  0.743
Sb  0.250  0.757  0.743
Sb  0.757  0.250  0.743
Sb  0.753  0.753  0.740
Sb  0.750  0.750  0.257
Sb  0.750  0.243  0.257
Sb  0.243  0.750  0.257
Sb  0.247  0.247  0.260

=====

Record 4
Compound: Sr2Tl5In4
Source: Alexandria
Functional: PBE
Structure: optimized geometry

Results
The calculation puts the calculated formation energy at -1.527 eV per formula unit. For the total energy, the calculation gives -2.52 eV per atom. For the density of states at the Fermi level, the calculation gives 0.590 states/eV per atom.

a = 7.142 Å, b = 6.987 Å, c = 8.843 Å
α = 79.81°, β = 66.18°, γ = 59.26°
Sites, in units of the cell vectors:
Sr  0.290  0.634  0.787
Sr  0.710  0.366  0.213
Tl  0.223  0.170  0.829
Tl  0.777  0.830  0.171
Tl  0.000  0.500  0.500
Tl  0.777  0.170  0.829
Tl  0.223  0.830  0.171
In  0.284  0.975  0.458
In  0.716  0.025  0.542
In  0.717  0.707  0.859
In  0.283  0.293  0.141

=====

Record 5
Compound: Li2TaSi
Source: Alexandria
Functional: PBE
Structure: optimized geometry

Results
For the total energy, the calculation gives -5.28 eV per atom. Its raw formation energy is 0.000 eV/atom. For the density of states at the Fermi level, the calculation gives 0.612 states/eV per atom.

a = 2.827 Å, b = 2.827 Å, c = 8.105 Å
α = 90.00°, β = 90.00°, γ = 90.00°
Sites, in units of the cell vectors:
Li  0.000  0.000  0.999
Li  0.500  0.500  0.278
Si  0.000  0.000  0.497
Ta  0.500  0.500  0.726

=====

Record 6
Compound: AcInPtO6
Source: Alexandria
Functional: PBE
Structure: optimized geometry

Results
For the total energy, the calculation gives -6.23 eV per atom. Its raw formation energy is -1.495 eV/atom. For the density of states at the Fermi level, the calculation gives 0.560 states/eV per atom.

a = 5.517 Å, b = 5.517 Å, c = 10.548 Å
α = 90.00°, β = 90.00°, γ = 120.00°
Last column: magnetic moment on the atom in μB.
Sites, in units of the cell vectors:
Ac  0.000  0.000  0.000  0.02
Ac  0.000  0.000  0.500  0.02
In  0.333  0.667  0.250  0.01
In  0.667  0.333  0.750  0.01
Pt  0.667  0.333  0.250  0.67
Pt  0.333  0.667  0.750  0.67
O  0.648  0.620  0.144  0.18
O  0.972  0.352  0.144  0.18
O  0.352  0.972  0.644  0.18
O  0.028  0.648  0.856  0.18
O  0.380  0.352  0.356  0.18
O  0.972  0.620  0.356  0.18
O  0.620  0.972  0.856  0.18
O  0.648  0.028  0.356  0.18
O  0.028  0.380  0.644  0.18
O  0.380  0.028  0.144  0.18
O  0.620  0.648  0.644  0.18
O  0.352  0.380  0.856  0.18

=====

Record 7
Compound: NaCu3S3
Source: Alexandria
Functional: PBE
Structure: optimized geometry

Results
For the total energy, the calculation gives -4.09 eV per atom. Its raw formation energy is -0.380 eV/atom. For the density of states at the Fermi level, the calculation gives 0.777 states/eV per atom.

a = 3.829 Å, b = 9.051 Å, c = 9.051 Å
α = 120.02°, β = 90.00°, γ = 90.00°
Sites, in units of the cell vectors:
Na  0.250  0.667  0.333
Na  0.750  0.333  0.667
Cu  0.250  0.593  0.946
Cu  0.250  0.054  0.647
Cu  0.250  0.353  0.407
Cu  0.750  0.407  0.054
Cu  0.750  0.946  0.353
Cu  0.750  0.647  0.593
S  0.250  0.102  0.407
S  0.250  0.593  0.695
S  0.250  0.305  0.898
S  0.750  0.898  0.593
S  0.750  0.407  0.305
S  0.750  0.695  0.102

=====

Record 8
Compound: TiSn2WAu
Source: Alexandria
Functional: PBE
Structure: optimized geometry

Results
The calculation puts the calculated formation energy at 3.420 eV per formula unit. For the total energy, the calculation gives -5.74 eV per atom. For the density of states at the Fermi level, the calculation gives 0.507 states/eV per atom.

a = 5.258 Å, b = 4.682 Å, c = 5.258 Å
α = 90.00°, β = 90.00°, γ = 90.00°
Sites, in units of the cell vectors:
Au  0.500  0.500  0.500
Sn  0.000  0.000  0.500
Sn  0.500  0.000  0.000
W  0.000  0.000  0.000
Ti  0.000  0.500  0.000

=====

Record 9
Compound: YBi2Cl
Source: Alexandria
Functional: PBE
Structure: optimized geometry

Results
For the total energy, the calculation gives -4.28 eV per atom. Its raw formation energy is -0.261 eV/atom. For the density of states at the Fermi level, the calculation gives 0.682 states/eV per atom.

a = 5.478 Å, b = 5.478 Å, c = 5.478 Å
α = 60.00°, β = 60.00°, γ = 60.00°
Sites, in units of the cell vectors:
Y  0.500  0.500  0.500
Bi  0.250  0.250  0.250
Bi  0.750  0.750  0.750
Cl  0.000  0.000  0.000

=====

Record 10
Compound: KNa4Pb
Source: Alexandria
Functional: PBE
Structure: optimized geometry

Results
The calculation puts the calculated formation energy at -0.310 eV per formula unit. For the total energy, the calculation gives -1.73 eV per atom. For the density of states at the Fermi level, the calculation gives 0.660 states/eV per atom.

a = 8.037 Å, b = 8.037 Å, c = 9.557 Å
α = 65.15°, β = 65.15°, γ = 89.99°
Sites, in units of the cell vectors:
K  0.500  0.500  0.000
K  0.000  0.000  0.000
Na  0.002  0.172  0.326
Na  0.172  0.672  0.326
Na  0.501  0.001  0.326
Na  0.499  0.999  0.674
Na  0.828  0.328  0.674
Na  0.998  0.828  0.674
Na  0.328  0.498  0.674
Na  0.672  0.502  0.326
Pb  0.750  0.750  0.500
Pb  0.250  0.250  0.500

=====

Record 11
Compound: NpBr4N2
Source: Alexandria
Functional: PBE
Structure: optimized geometry

Results
For the total energy, the calculation gives -4.51 eV per atom. Its raw formation energy is 0.677 eV/atom. For the density of states at the Fermi level, the calculation gives 0.674 states/eV per atom.

a = 5.224 Å, b = 5.224 Å, c = 10.723 Å
α = 75.90°, β = 75.90°, γ = 60.00°
Last column: magnetic moment on the atom in μB.
Sites, in units of the cell vectors:
Np  0.000  0.000  0.000  3.44
Br  0.315  0.315  0.056  -0.06
Br  0.086  0.086  0.741  -0.08
Br  0.685  0.685  0.944  -0.06
Br  0.914  0.914  0.259  -0.08
N  0.199  0.199  0.404  1.92
N  0.801  0.801  0.596  1.92